[1]
8
Lattice="4.135 0.000 0.000 0.000 4.224 0.000 0.000 0.000 13.139" Properties=species:S:1:pos:R:3 comment="BaLaCo2 PBE relaxed" total_energy_ev_per_atom=-5.143 e_above_lowest_polymorph_mev_per_atom=63 e_form_ev_per_atom=0.1225 density_g_cm3=5.7 crystal_system=orthorhombic magnetic_moment_mub_per_fu=0.84 pbc="T T T"
Ba 0.000 0.000 0.000
Ba 0.000 2.112 6.569
La 2.067 0.000 9.762
La 2.067 2.112 3.193
Co 0.000 0.000 4.073
Co 0.000 2.112 10.642
Co 2.067 0.000 4.886
Co 2.067 2.112 11.455

[2]
6
Lattice="3.649 0.000 0.000 0.000 3.649 0.000 0.000 0.000 14.378" Properties=species:S:1:pos:R:3 comment="BaLaCo PBE relaxed" total_energy_ev_per_atom=-4.466 e_above_lowest_polymorph_mev_per_atom=60 e_form_ev_per_atom=0.1856 density_g_cm3=5.8 crystal_system=tetragonal magnetic_moment_mub_per_fu=0.00 pbc="T T T"
Ba 0.000 0.000 0.000
Ba 1.825 1.825 7.189
La 0.000 0.000 3.455
La 1.825 1.825 10.645
Co 0.000 0.000 9.371
Co 1.825 1.825 2.182

[3]
4
Lattice="4.194 0.000 0.000 0.000 3.905 0.000 -2.095 0.000 9.622" Properties=species:S:1:pos:R:3 comment="Ba2LaCo PBE relaxed" total_energy_ev_per_atom=-3.829 e_above_lowest_polymorph_mev_per_atom=25 e_form_ev_per_atom=0.1409 density_g_cm3=5.0 crystal_system=monoclinic magnetic_moment_mub_per_fu=0.00 pbc="T T T"
Ba 0.000 0.000 0.000
Ba -0.001 1.953 5.963
La 2.092 1.953 2.858
Co -0.009 0.000 3.122

Repeat the third record exactly.
4
Lattice="4.194 0.000 0.000 0.000 3.905 0.000 -2.095 0.000 9.622" Properties=species:S:1:pos:R:3 comment="Ba2LaCo PBE relaxed" total_energy_ev_per_atom=-3.829 e_above_lowest_polymorph_mev_per_atom=25 e_form_ev_per_atom=0.1409 density_g_cm3=5.0 crystal_system=monoclinic magnetic_moment_mub_per_fu=0.00 pbc="T T T"
Ba 0.000 0.000 0.000
Ba -0.001 1.953 5.963
La 2.092 1.953 2.858
Co -0.009 0.000 3.122

Repeat the third record exactly.
4
Lattice="4.194 0.000 0.000 0.000 3.905 0.000 -2.095 0.000 9.622" Properties=species:S:1:pos:R:3 comment="Ba2LaCo PBE relaxed" total_energy_ev_per_atom=-3.829 e_above_lowest_polymorph_mev_per_atom=25 e_form_ev_per_atom=0.1409 density_g_cm3=5.0 crystal_system=monoclinic magnetic_moment_mub_per_fu=0.00 pbc="T T T"
Ba 0.000 0.000 0.000
Ba -0.001 1.953 5.963
La 2.092 1.953 2.858
Co -0.009 0.000 3.122

Please write out number 2 again, unchanged.
6
Lattice="3.649 0.000 0.000 0.000 3.649 0.000 0.000 0.000 14.378" Properties=species:S:1:pos:R:3 comment="BaLaCo PBE relaxed" total_energy_ev_per_atom=-4.466 e_above_lowest_polymorph_mev_per_atom=60 e_form_ev_per_atom=0.1856 density_g_cm3=5.8 crystal_system=tetragonal magnetic_moment_mub_per_fu=0.00 pbc="T T T"
Ba 0.000 0.000 0.000
Ba 1.825 1.825 7.189
La 0.000 0.000 3.455
La 1.825 1.825 10.645
Co 0.000 0.000 9.371
Co 1.825 1.825 2.182